First-principles (GGA+U) data for a geometry-optimized Ac2TlMoO8 structure, as listed in Alexandria.

Lattice parameters (Å, degrees): 4.8708 5.1360 7.9398 92.90 91.91 94.61
Element x y z (fractional)
Ac  0.0808  0.0327  0.2637
Ac  0.9192  0.9673  0.7363
Tl  0.5000  0.5000  0.0000
Mo  0.5000  0.5000  0.5000
O  0.2040  0.2450  0.5477
O  0.2140  0.1994  0.9778
O  0.2847  0.5955  0.3012
O  0.3685  0.7610  0.6584
O  0.6315  0.2390  0.3416
O  0.7153  0.4045  0.6988
O  0.7860  0.8006  0.0222
O  0.7960  0.7550  0.4523

Calculated values
raw total energy	-0.250	Ha/atom
total magnetization	0.09	μB per atom
mass density	7.4	g/cm3